--- 1 ---
# HfZrRe

A relaxed structure of HfZrRe (GGA-PBE, the Alexandria database).

**Volume**: 61.2 Å³/f.u.
**D(E_F)**: 9.7 states/eV per cell

a b c (Å): 10.8813 3.3675 7.5692
angles (deg): 90.00 117.97 90.00
Closest atoms and distances in Å follow each position.
Space group C2/m (No. 12)
Symmetry-distinct sites (fractional):
Hf 0.0970 0.0000 0.3855 x4  4 Re 2.75-2.86
Zr 0.1532 0.5000 0.0645 x4  3 Re 2.72-2.74, 1 Zr 3.00
Re 0.1361 0.5000 0.6943 x4  3 Zr 2.72-2.74, 4 Hf 2.75-2.86, 1 Re 3.04


--- 2 ---
# HfZrRe

A relaxed structure of HfZrRe (GGA-PBE, the Alexandria database).

**Volume**: 58.5 Å³/f.u.
**D(E_F)**: 8.5 states/eV per cell

a b c (Å): 3.3299 3.3299 10.5434
angles (deg): 90.00 90.00 90.00
Closest atoms and distances in Å follow each position.
Space group I4mm (No. 107)
Symmetry-distinct sites (fractional):
Hf 0.0000 0.0000 0.0000 x2  4 Re 2.81, 1 Zr 3.14
Zr 0.0000 0.0000 0.7022 x2  4 Re 2.85, 5 Hf 3.14-3.18
Re 0.0000 0.0000 0.3548 x2  4 Hf 2.81, 4 Zr 2.85


--- 3 ---
# HfZrRe

A relaxed structure of HfZrRe (GGA-PBE, the Alexandria database).

**Volume**: 64.8 Å³/f.u.
**D(E_F)**: 12.6 states/eV per cell

a b c (Å): 3.2490 12.4311 6.4169
angles (deg): 90.00 90.00 90.00
Closest atoms and distances in Å follow each position.
Space group Cmcm (No. 63)
Symmetry-distinct sites (fractional):
Hf 0.0000 0.1249 0.2500 x4  4 Re 2.76
Zr 0.0000 0.1325 0.7500 x4  4 Re 2.82
Re 0.0000 0.5000 0.0000 x4  4 Hf 2.76, 4 Zr 2.82


--- 4 ---
# HfZrRe

A relaxed structure of HfZrRe (GGA-PBE, the Alexandria database).

**Volume**: 58.7 Å³/f.u.
**D(E_F)**: 8.5 states/eV per cell

a b c (Å): 3.3232 14.0965 5.0141
angles (deg): 90.00 90.00 90.00
Closest atoms and distances in Å follow each position.
Space group Cmcm (No. 63)
Symmetry-distinct sites (fractional):
Hf 0.0000 0.1075 0.2500 x4  2 Re 2.67
Zr 0.0000 0.4116 0.2500 x4  2 Re 2.75, 4 Hf 3.02
Re 0.0000 0.2441 0.7500 x4  2 Hf 2.67, 2 Zr 2.75


Relative energies with respect to the most stable structure, expressed in kJ/mol of atoms: 1 10.1; 2 0.0; 3 19.4; 4 13.8.


--- 1 ---
# Hf2RuRh2

A relaxed structure of Hf2RuRh2 (GGA-PBE, the Alexandria database).

**Volume**: 87.0 Å³/f.u.
**D(E_F)**: 3.6 states/eV per cell

a b c (Å): 7.2281 7.2281 3.3294
angles (deg): 90.00 90.00 90.00
Closest atoms and distances in Å follow each position.
Space group P4/mbm (No. 127)
Symmetry-distinct sites (fractional):
Hf 0.1619 0.3381 0.0000 x4  6 Rh 2.61-2.75, 2 Ru 2.71
Ru 0.0000 0.0000 0.0000 x2  4 Hf 2.71
Rh 0.1409 0.6409 0.5000 x4  6 Hf 2.61-2.75, 1 Rh 2.88


--- 2 ---
# Hf2RuRh2

A relaxed structure of Hf2RuRh2 (GGA-PBE, the Alexandria database).

**Volume**: 86.3 Å³/f.u.
**D(E_F)**: 2.1 states/eV per cell

a b c (Å): 7.0938 7.0938 3.4314
angles (deg): 90.00 90.00 90.00
Closest atoms and distances in Å follow each position.
Space group P4/mbm (No. 127)
Symmetry-distinct sites (fractional):
Hf 0.1771 0.3229 0.0000 x4  6 Rh 2.60-2.79
Ru 0.0000 0.0000 0.5000 x2  4 Rh 2.79
Rh 0.1286 0.6286 0.5000 x4  1 Rh 2.58, 6 Hf 2.60-2.79, 2 Ru 2.79


--- 3 ---
# Hf2RuRh2

A relaxed structure of Hf2RuRh2 (GGA-PBE, the Alexandria database).

**Volume**: 91.6 Å³/f.u.
**D(E_F)**: 9.5 states/eV per cell

a b c (Å): 3.5581 3.5581 14.4633
angles (deg): 90.00 90.00 90.00
Closest atoms and distances in Å follow each position.
Space group I4/mmm (No. 139)
Symmetry-distinct sites (fractional):
Hf 0.0000 0.0000 0.1062 x4  4 Rh 2.74, 4 Ru 2.95
Ru 0.0000 0.0000 0.5000 x2  8 Hf 2.95
Rh 0.0000 0.5000 0.2500 x4  4 Rh 2.52, 4 Hf 2.74


Relative energies with respect to the most stable structure, expressed in kJ/mol of atoms: 1 8.5; 2 0.0; 3 30.9.


--- 1 ---
# HfRuRh3

A relaxed structure of HfRuRh3 (GGA-PBE, the Alexandria database).

**Volume**: 99.3 Å³/f.u.
**D(E_F)**: 7.4 states/eV per cell

a b c (Å): 4.6314 4.6314 4.6314
angles (deg): 90.00 90.00 90.00
Closest atoms and distances in Å follow each position.
Space group Pm-3m (No. 221)
Symmetry-distinct sites (fractional):
Hf 0.0000 0.0000 0.0000 x1  12 Rh 3.27
Ru 0.5000 0.5000 0.5000 x1  6 Rh 2.32
Rh 0.0000 0.5000 0.5000 x3  2 Ru 2.32


--- 2 ---
# HfRuRh3

A relaxed structure of HfRuRh3 (GGA-PBE, the Alexandria database).

**Volume**: 103.8 Å³/f.u.
**D(E_F)**: 6.7 states/eV per cell

a b c (Å): 4.7001 4.7001 4.7001
angles (deg): 90.00 90.00 90.00
Closest atoms and distances in Å follow each position.
Space group Pm-3m (No. 221)
Symmetry-distinct sites (fractional):
Hf 0.0000 0.0000 0.0000 x1  6 Rh 2.35
Ru 0.5000 0.5000 0.5000 x1  12 Rh 3.32
Rh 0.0000 0.0000 0.5000 x3  2 Hf 2.35


Relative energies with respect to the most stable structure, expressed in kJ/mol of atoms: 1 0.0; 2 27.1.


--- 1 ---
# TmHfRuRh

A relaxed structure of TmHfRuRh (GGA-PBE, the Alexandria database).

**Volume**: 72.6 Å³/f.u.
**D(E_F)**: 1.3 states/eV per cell

a b c (Å): 3.3138 3.3138 6.6103
angles (deg): 90.00 90.00 90.00
Closest atoms and distances in Å follow each position.
Space group P4mm (No. 99)
Symmetry-distinct sites (fractional):
Tm 0.0000 0.0000 0.0000 x1  4 Rh 2.93, 4 Ru 2.93, 1 Hf 3.28
Hf 0.0000 0.0000 0.5037 x1  4 Ru 2.79, 4 Rh 2.82
Ru 0.5000 0.5000 0.7331 x1  4 Hf 2.79, 4 Tm 2.93, 1 Rh 3.09
Rh 0.5000 0.5000 0.2661 x1  4 Hf 2.82, 4 Tm 2.93, 1 Ru 3.09


--- 2 ---
# TmHfRuRh

A relaxed structure of TmHfRuRh (GGA-PBE, the Alexandria database).

**Volume**: 72.2 Å³/f.u.
**D(E_F)**: 4.5 states/eV per cell

a b c (Å): 6.6110 6.6110 6.6110
angles (deg): 90.00 90.00 90.00
Closest atoms and distances in Å follow each position.
Space group F-43m (No. 216)
Symmetry-distinct sites (fractional):
Tm 0.0000 0.0000 0.0000 x4  4 Ru 2.86, 4 Rh 2.86
Hf 0.0000 0.0000 0.5000 x4  4 Ru 2.86, 4 Rh 2.86
Ru 0.2500 0.2500 0.7500 x4  4 Hf 2.86, 4 Tm 2.86
Rh 0.2500 0.2500 0.2500 x4  4 Hf 2.86, 4 Tm 2.86


Relative energies with respect to the most stable structure, expressed in kJ/mol of atoms: 1 0.0; 2 4.2.